[1]
The following is a PBE+U calculation of K4Rb2Co2O5 after structural relaxation, from the Alexandria database.

Summary:
Energy ... -4.368 eV/atom

Unit cell a=6.800 b=6.800 c=11.877 alpha=90.00 beta=90.00 gamma=90.00
Sites, in units of the cell vectors:
K: 0.000 0.000 0.221
K: 0.000 0.000 0.779
K: 0.000 0.500 0.250
K: 0.000 0.500 0.750
K: 0.500 0.000 0.250
K: 0.500 0.000 0.750
K: 0.500 0.500 0.279
K: 0.500 0.500 0.721
Rb: 0.186 0.186 0.500
Rb: 0.314 0.686 0.000
Rb: 0.686 0.314 0.000
Rb: 0.814 0.814 0.500
Co: 0.204 0.204 0.000
Co: 0.296 0.704 0.500
Co: 0.704 0.296 0.500
Co: 0.796 0.796 0.000
O: 0.000 0.000 0.000
O: 0.217 0.783 0.360
O: 0.217 0.783 0.640
O: 0.283 0.283 0.140
O: 0.283 0.283 0.860
O: 0.500 0.500 0.500
O: 0.717 0.717 0.140
O: 0.717 0.717 0.860
O: 0.783 0.217 0.360
O: 0.783 0.217 0.640



[2]
The following is a PBE+U calculation of K2RbCoO4 after structural relaxation, from the Alexandria database.

Summary:
Energy ... -4.668 eV/atom

Unit cell a=5.926 b=5.926 c=5.926 alpha=114.53 beta=114.53 gamma=99.76
Sites, in units of the cell vectors:
K: 0.250 0.750 0.500
K: 0.750 0.250 0.500
Rb: 0.000 0.000 0.000
Co: 0.500 0.500 0.000
O: 0.224 0.565 0.000
O: 0.435 0.435 0.659
O: 0.565 0.224 0.000
O: 0.776 0.776 0.341



[3]
The following is a PBE+U calculation of KRb2CoO4 after structural relaxation, from the Alexandria database.

Summary:
Energy ... -4.571 eV/atom

Unit cell a=5.924 b=5.924 c=5.924 alpha=108.91 beta=108.91 gamma=110.59
Sites, in units of the cell vectors:
K: 0.000 0.000 0.000
Rb: 0.000 0.500 0.500
Rb: 0.500 0.000 0.500
Co: 0.500 0.500 0.000
O: 0.198 0.198 0.714
O: 0.484 0.484 0.286
O: 0.516 0.802 0.000
O: 0.802 0.516 0.000



Among the records above, which one has the lowest energy?
K2RbCoO4



Copy entry 3 word for word.
The following is a PBE+U calculation of KRb2CoO4 after structural relaxation, from the Alexandria database.

Summary:
Energy ... -4.571 eV/atom

Unit cell a=5.924 b=5.924 c=5.924 alpha=108.91 beta=108.91 gamma=110.59
Sites, in units of the cell vectors:
K: 0.000 0.000 0.000
Rb: 0.000 0.500 0.500
Rb: 0.500 0.000 0.500
Co: 0.500 0.500 0.000
O: 0.198 0.198 0.714
O: 0.484 0.484 0.286
O: 0.516 0.802 0.000
O: 0.802 0.516 0.000



Which of these has the highest energy?
K4Rb2Co2O5



Which value of energy does entry 1 give?
-4.368 eV/atom